First-principles (PBE) data for a geometry-optimized Mg2TiSnH structure, as listed in the Alexandria database.

Output
As for the symmetry: P4/mmm (123). As for the crystal system: tetragonal. The electronic total energy comes out at -3.80 eV/atom.

Cell lengths 4.367, 4.367, 4.196 Å; angles 90.00, 90.00, 90.00 degrees
Element x y z (fractional)
1 Mg 0.500 0.000 0.000
2 Sn 0.500 0.500 0.500
3 Ti 0.000 0.000 0.500
4 Mg 0.000 0.500 0.000
5 H 0.000 0.000 0.000



First-principles (PBE) data for a geometry-optimized MgTi2SnH structure, as listed in the Alexandria database.

Output
As for the symmetry: P4/mmm (123). As for the crystal system: tetragonal. The electronic total energy comes out at -5.21 eV/atom.

Cell lengths 4.113, 4.113, 4.449 Å; angles 90.00, 90.00, 90.00 degrees
Element x y z (fractional)
1 H 0.000 0.000 0.000
2 Sn 0.500 0.500 0.500
3 Ti 0.000 0.500 0.000
4 Ti 0.500 0.000 0.000
5 Mg 0.000 0.000 0.500



First-principles (PBE) data for a geometry-optimized MgV2SnH structure, as listed in the Alexandria database.

Output
As for the symmetry: P4/mmm (123). As for the crystal system: tetragonal. The electronic total energy comes out at -5.36 eV/atom.

Cell lengths 3.957, 3.957, 4.368 Å; angles 90.00, 90.00, 90.00 degrees
Each line ends with the local moment (μB).
Element x y z (fractional)
1 Mg 0.000 0.000 0.500  0.00
2 Sn 0.500 0.500 0.500  -0.01
3 V 0.500 0.000 0.000  0.17
4 V 0.000 0.500 0.000  0.17
5 H 0.000 0.000 0.000  0.00



First-principles (PBE) data for a geometry-optimized Mg2ZnSnH structure, as listed in the Alexandria database.

Output
As for the symmetry: P4/mmm (123). As for the crystal system: tetragonal. The electronic total energy comes out at -2.35 eV/atom.

Cell lengths 4.352, 4.352, 4.482 Å; angles 90.00, 90.00, 90.00 degrees
Element x y z (fractional)
1 Mg 0.500 0.000 0.000
2 H 0.000 0.000 0.000
3 Zn 0.000 0.000 0.500
4 Mg 0.000 0.500 0.000
5 Sn 0.500 0.500 0.500



First-principles (PBE) data for a geometry-optimized MgZr2SnH structure, as listed in the Alexandria database.

Output
As for the symmetry: P4/mmm (123). As for the crystal system: tetragonal. The electronic total energy comes out at -5.57 eV/atom.

Cell lengths 4.375, 4.375, 4.599 Å; angles 90.00, 90.00, 90.00 degrees
Element x y z (fractional)
1 Sn 0.500 0.500 0.500
2 Zr 0.500 0.000 0.000
3 Zr 0.000 0.500 0.000
4 Mg 0.000 0.000 0.500
5 H 0.000 0.000 0.000



First-principles (PBE) data for a geometry-optimized SrMg2H structure, as listed in the Alexandria database.

Output
As for the symmetry: Fd-3m (227). As for the crystal system: cubic. The electronic total energy comes out at -2.03 eV/atom.

Cell lengths 6.566, 6.566, 6.564 Å; angles 59.99, 59.99, 90.00 degrees
Element x y z (fractional)
1 Mg 0.375 0.125 0.250
2 H 0.500 0.500 0.000
3 Sr 0.000 0.000 0.000
4 Mg 0.875 0.625 0.750
5 Sr 0.750 0.250 0.500
6 Mg 0.375 0.625 0.250
7 Mg 0.375 0.625 0.750
8 H 0.250 0.750 0.500



What did the first record say?
First-principles (PBE) data for a geometry-optimized Mg2TiSnH structure, as listed in the Alexandria database.

Output
As for the symmetry: P4/mmm (123). As for the crystal system: tetragonal. The electronic total energy comes out at -3.80 eV/atom.

Cell lengths 4.367, 4.367, 4.196 Å; angles 90.00, 90.00, 90.00 degrees
Element x y z (fractional)
1 Mg 0.500 0.000 0.000
2 Sn 0.500 0.500 0.500
3 Ti 0.000 0.000 0.500
4 Mg 0.000 0.500 0.000
5 H 0.000 0.000 0.000